The following is a GGA-PBE calculation of a relaxed structure of Sc4MoSe, from Alexandria via LeMat-Bulk.

For the theoretical density, the calculation gives 4.63 g/cm³. As for the energy relative to the elements, uncorrected: 0.460 eV/atom. For the volume, the calculation gives 127 Å³/cell.

a b c (Å): 5.6466 5.6466 5.6466
angles (deg): 60.00 60.00 60.00
With the nearest neighbours (Å) after each atom.
Atoms (fractional coordinates):
Sc 0.3721 0.8838 0.3721  6 Sc 2.76-2.89
Sc 0.3721 0.3721 0.3721  6 Sc 2.76-2.89
Mo 0.0000 0.0000 0.0000  12 Sc 3.30, 4 Se 3.46
Se 0.7500 0.7500 0.7500  12 Sc 3.32, 4 Mo 3.46
Sc 0.3721 0.3721 0.8838  6 Sc 2.76-2.89
Sc 0.8838 0.3721 0.3721  6 Sc 2.76-2.89